## 1
DFT (PBE-GGA) results for a relaxed structure of La3CeZn2.

Structure (CIF):
```
data_La3CeZn2
_chemical_formula_sum 'La6 Ce2 Zn4'
_symmetry_space_group_name_H-M 'P 1'
_symmetry_Int_Tables_number 1
_cell_length_a 5.5040
_cell_length_b 16.7983
_cell_length_c 3.6228
_cell_angle_alpha 90.00
_cell_angle_beta 90.00
_cell_angle_gamma 90.00
loop_
_symmetry_equiv_pos_as_xyz
'x,y,z'
loop_
_atom_site_label
_atom_site_fract_x
_atom_site_fract_y
_atom_site_fract_z
La1 0.0000 0.0000 0.0000
La2 0.0000 0.3227 0.0000
La3 0.0000 0.6773 0.0000
La4 0.5000 0.1773 0.0000
La5 0.5000 0.5000 0.0000
La6 0.5000 0.8227 0.0000
Ce1 0.0000 0.5000 0.5000
Ce2 0.5000 0.0000 0.5000
Zn1 0.0000 0.1571 0.5000
Zn2 0.0000 0.8429 0.5000
Zn3 0.5000 0.3429 0.5000
Zn4 0.5000 0.6571 0.5000
```

density = 6.8 g cm⁻³

## 2
DFT (PBE-GGA) results for a relaxed structure of La3CeZn2.

Structure (CIF):
```
data_La3CeZn2
_chemical_formula_sum 'La3 Ce1 Zn2'
_symmetry_space_group_name_H-M 'P 1'
_symmetry_Int_Tables_number 1
_cell_length_a 3.6750
_cell_length_b 3.6750
_cell_length_c 12.4972
_cell_angle_alpha 90.00
_cell_angle_beta 90.00
_cell_angle_gamma 90.00
loop_
_symmetry_equiv_pos_as_xyz
'x,y,z'
loop_
_atom_site_label
_atom_site_fract_x
_atom_site_fract_y
_atom_site_fract_z
La1 0.0000 0.0000 0.0000
La2 0.0000 0.0000 0.3099
La3 0.0000 0.0000 0.6901
Ce1 0.5000 0.5000 0.5000
Zn1 0.5000 0.5000 0.1570
Zn2 0.5000 0.5000 0.8430
```

density = 6.8 g cm⁻³

Tell me which of them is the least stable. Sure, it is 1.

## 1
DFT (PBE-GGA) results for a relaxed structure of LaCeZn4.

Structure (CIF):
```
data_LaCeZn4
_chemical_formula_sum 'La1 Ce1 Zn4'
_symmetry_space_group_name_H-M 'P 1'
_symmetry_Int_Tables_number 1
_cell_length_a 5.5777
_cell_length_b 5.5777
_cell_length_c 5.5777
_cell_angle_alpha 60.00
_cell_angle_beta 60.00
_cell_angle_gamma 60.00
loop_
_symmetry_equiv_pos_as_xyz
'x,y,z'
loop_
_atom_site_label
_atom_site_fract_x
_atom_site_fract_y
_atom_site_fract_z
La1 0.0000 0.0000 0.0000
Ce1 0.7500 0.7500 0.7500
Zn1 0.3752 0.3752 0.3752
Zn2 0.3752 0.3752 0.8745
Zn3 0.3752 0.8745 0.3752
Zn4 0.8745 0.3752 0.3752
```

density = 7.3 g cm⁻³

## 2
DFT (PBE-GGA) results for a relaxed structure of LaCeZn4.

Structure (CIF):
```
data_LaCeZn4
_chemical_formula_sum 'La2 Ce2 Zn8'
_symmetry_space_group_name_H-M 'P 1'
_symmetry_Int_Tables_number 1
_cell_length_a 4.2365
_cell_length_b 4.2365
_cell_length_c 15.5044
_cell_angle_alpha 90.00
_cell_angle_beta 90.00
_cell_angle_gamma 90.00
loop_
_symmetry_equiv_pos_as_xyz
'x,y,z'
loop_
_atom_site_label
_atom_site_fract_x
_atom_site_fract_y
_atom_site_fract_z
La1 0.0000 0.0000 0.0000
La2 0.5000 0.5000 0.5000
Ce1 0.0000 0.5000 0.7500
Ce2 0.5000 0.0000 0.2500
Zn1 0.0000 0.0000 0.4162
Zn2 0.0000 0.0000 0.5838
Zn3 0.0000 0.5000 0.1689
Zn4 0.0000 0.5000 0.3311
Zn5 0.5000 0.0000 0.6689
Zn6 0.5000 0.0000 0.8311
Zn7 0.5000 0.5000 0.0838
Zn8 0.5000 0.5000 0.9162
```

density = 6.5 g cm⁻³

Tell me which of them is the least stable. Sure, it is 2.

## 1
DFT (PBE-GGA) results for a relaxed structure of LaCeZn.

Structure (CIF):
```
data_LaCeZn
_chemical_formula_sum 'La4 Ce4 Zn4'
_symmetry_space_group_name_H-M 'P 1'
_symmetry_Int_Tables_number 1
_cell_length_a 3.5777
_cell_length_b 16.8254
_cell_length_c 5.4041
_cell_angle_alpha 90.00
_cell_angle_beta 90.00
_cell_angle_gamma 90.00
loop_
_symmetry_equiv_pos_as_xyz
'x,y,z'
loop_
_atom_site_label
_atom_site_fract_x
_atom_site_fract_y
_atom_site_fract_z
La1 0.0000 0.0721 0.2500
La2 0.0000 0.9279 0.7500
La3 0.5000 0.4279 0.7500
La4 0.5000 0.5721 0.2500
Ce1 0.0000 0.2393 0.7500
Ce2 0.0000 0.7607 0.2500
Ce3 0.5000 0.2607 0.2500
Ce4 0.5000 0.7393 0.7500
Zn1 0.0000 0.4087 0.2500
Zn2 0.0000 0.5913 0.7500
Zn3 0.5000 0.0913 0.7500
Zn4 0.5000 0.9087 0.2500
```

density = 7.0 g cm⁻³

## 2
DFT (PBE-GGA) results for a relaxed structure of LaCeZn.

Structure (CIF):
```
data_LaCeZn
_chemical_formula_sum 'La4 Ce4 Zn4'
_symmetry_space_group_name_H-M 'P 1'
_symmetry_Int_Tables_number 1
_cell_length_a 16.8324
_cell_length_b 4.2510
_cell_length_c 4.6663
_cell_angle_alpha 90.00
_cell_angle_beta 90.00
_cell_angle_gamma 90.00
loop_
_symmetry_equiv_pos_as_xyz
'x,y,z'
loop_
_atom_site_label
_atom_site_fract_x
_atom_site_fract_y
_atom_site_fract_z
La1 0.1852 0.2500 0.2161
La2 0.3148 0.7500 0.7161
La3 0.6852 0.2500 0.2839
La4 0.8148 0.7500 0.7839
Ce1 0.0083 0.7500 0.1867
Ce2 0.4917 0.2500 0.6867
Ce3 0.5083 0.7500 0.3133
Ce4 0.9917 0.2500 0.8133
Zn1 0.1274 0.7500 0.7061
Zn2 0.3726 0.2500 0.2061
Zn3 0.6274 0.7500 0.7939
Zn4 0.8726 0.2500 0.2939
```

density = 6.9 g cm⁻³

Tell me which of them is the least stable. Sure, it is 2.

## 1
DFT (PBE-GGA) results for a relaxed structure of La2CeZr.

Structure (CIF):
```
data_La2CeZr
_chemical_formula_sum 'La6 Ce3 Zr3'
_symmetry_space_group_name_H-M 'P 1'
_symmetry_Int_Tables_number 1
_cell_length_a 3.3723
_cell_length_b 3.3723
_cell_length_c 36.1344
_cell_angle_alpha 90.00
_cell_angle_beta 90.00
_cell_angle_gamma 120.00
loop_
_symmetry_equiv_pos_as_xyz
'x,y,z'
loop_
_atom_site_label
_atom_site_fract_x
_atom_site_fract_y
_atom_site_fract_z
La1 0.0000 0.0000 0.0855
La2 0.0000 0.0000 0.9145
La3 0.3333 0.6667 0.5812
La4 0.3333 0.6667 0.7521
La5 0.6667 0.3333 0.2479
La6 0.6667 0.3333 0.4188
Ce1 0.0000 0.0000 0.5000
Ce2 0.3333 0.6667 0.1667
Ce3 0.6667 0.3333 0.8333
Zr1 0.0000 0.0000 0.0000
Zr2 0.3333 0.6667 0.6667
Zr3 0.6667 0.3333 0.3333
```

density = 7.1 g cm⁻³

## 2
DFT (PBE-GGA) results for a relaxed structure of La2CeZr.

Structure (CIF):
```
data_La2CeZr
_chemical_formula_sum 'La2 Ce1 Zr1'
_symmetry_space_group_name_H-M 'P 1'
_symmetry_Int_Tables_number 1
_cell_length_a 4.9903
_cell_length_b 4.9903
_cell_length_c 4.8851
_cell_angle_alpha 90.00
_cell_angle_beta 90.00
_cell_angle_gamma 90.00
loop_
_symmetry_equiv_pos_as_xyz
'x,y,z'
loop_
_atom_site_label
_atom_site_fract_x
_atom_site_fract_y
_atom_site_fract_z
La1 0.0000 0.5000 0.0000
La2 0.5000 0.0000 0.0000
Ce1 0.0000 0.0000 0.5000
Zr1 0.5000 0.5000 0.5000
```

density = 6.9 g cm⁻³

Tell me which of them is the least stable. Sure, it is 1.

## 1
DFT (PBE-GGA) results for a relaxed structure of Li3Ce.

Structure (CIF):
```
data_Li3Ce
_chemical_formula_sum 'Li3 Ce1'
_symmetry_space_group_name_H-M 'P 1'
_symmetry_Int_Tables_number 1
_cell_length_a 2.9423
_cell_length_b 5.2935
_cell_length_c 5.9360
_cell_angle_alpha 90.00
_cell_angle_beta 90.00
_cell_angle_gamma 90.00
loop_
_symmetry_equiv_pos_as_xyz
'x,y,z'
loop_
_atom_site_label
_atom_site_fract_x
_atom_site_fract_y
_atom_site_fract_z
Li1 0.0000 0.0000 0.0000
Li2 0.0000 0.5000 0.2511
Li3 0.5000 0.0000 0.4360
Ce1 0.5000 0.5000 0.7540
```

density = 2.9 g cm⁻³

## 2
DFT (PBE-GGA) results for a relaxed structure of Li3Ce.

Structure (CIF):
```
data_Li3Ce
_chemical_formula_sum 'Li12 Ce4'
_symmetry_space_group_name_H-M 'P 1'
_symmetry_Int_Tables_number 1
_cell_length_a 7.3611
_cell_length_b 7.3611
_cell_length_c 7.3611
_cell_angle_alpha 90.00
_cell_angle_beta 90.00
_cell_angle_gamma 90.00
loop_
_symmetry_equiv_pos_as_xyz
'x,y,z'
loop_
_atom_site_label
_atom_site_fract_x
_atom_site_fract_y
_atom_site_fract_z
Li1 0.0000 0.0000 0.0000
Li2 0.0000 0.5000 0.5000
Li3 0.2500 0.2500 0.2500
Li4 0.2500 0.2500 0.7500
Li5 0.2500 0.7500 0.2500
Li6 0.2500 0.7500 0.7500
Li7 0.5000 0.0000 0.5000
Li8 0.5000 0.5000 0.0000
Li9 0.7500 0.2500 0.2500
Li10 0.7500 0.2500 0.7500
Li11 0.7500 0.7500 0.2500
Li12 0.7500 0.7500 0.7500
Ce1 0.0000 0.0000 0.5000
Ce2 0.0000 0.5000 0.0000
Ce3 0.5000 0.0000 0.0000
Ce4 0.5000 0.5000 0.5000
```

density = 2.7 g cm⁻³

Tell me which of them is the least stable. Sure, it is 2.

## 1
DFT (PBE-GGA) results for a relaxed structure of Li2CeMg.

Structure (CIF):
```
data_Li2CeMg
_chemical_formula_sum 'Li2 Ce1 Mg1'
_symmetry_space_group_name_H-M 'P 1'
_symmetry_Int_Tables_number 1
_cell_length_a 5.3492
_cell_length_b 5.3492
_cell_length_c 3.2126
_cell_angle_alpha 90.00
_cell_angle_beta 90.00
_cell_angle_gamma 90.00
loop_
_symmetry_equiv_pos_as_xyz
'x,y,z'
loop_
_atom_site_label
_atom_site_fract_x
_atom_site_fract_y
_atom_site_fract_z
Li1 0.0000 0.5000 0.0000
Li2 0.5000 0.0000 0.0000
Ce1 0.0000 0.0000 0.5000
Mg1 0.5000 0.5000 0.5000
```

density = 3.2 g cm⁻³

## 2
DFT (PBE-GGA) results for a relaxed structure of Li2CeMg.

Structure (CIF):
```
data_Li2CeMg
_chemical_formula_sum 'Li8 Ce4 Mg4'
_symmetry_space_group_name_H-M 'P 1'
_symmetry_Int_Tables_number 1
_cell_length_a 7.2524
_cell_length_b 7.2524
_cell_length_c 7.2524
_cell_angle_alpha 90.00
_cell_angle_beta 90.00
_cell_angle_gamma 90.00
loop_
_symmetry_equiv_pos_as_xyz
'x,y,z'
loop_
_atom_site_label
_atom_site_fract_x
_atom_site_fract_y
_atom_site_fract_z
Li1 0.2500 0.2500 0.2500
Li2 0.2500 0.2500 0.7500
Li3 0.2500 0.7500 0.2500
Li4 0.2500 0.7500 0.7500
Li5 0.7500 0.2500 0.2500
Li6 0.7500 0.2500 0.7500
Li7 0.7500 0.7500 0.2500
Li8 0.7500 0.7500 0.7500
Ce1 0.0000 0.0000 0.0000
Ce2 0.0000 0.5000 0.5000
Ce3 0.5000 0.0000 0.5000
Ce4 0.5000 0.5000 0.0000
Mg1 0.0000 0.0000 0.5000
Mg2 0.0000 0.5000 0.0000
Mg3 0.5000 0.0000 0.0000
Mg4 0.5000 0.5000 0.5000
```

density = 3.1 g cm⁻³

Tell me which of them is the least stable. Sure, it is 1.